(1)
! ZrP4Os PBE optimized geometry; values from VASP
&SYSTEM
  ibrav = 0, nat = 6, ntyp = 3
/
ATOMIC_SPECIES
Zr 91.22 Zr.upf
P 30.97 P.upf
Os 190.23 Os.upf
CELL_PARAMETERS angstrom
0.0000 3.5458 3.5458
3.5458 0.0000 3.5458
3.5458 3.5458 0.0000
ATOMIC_POSITIONS angstrom
Zr 5.3186 5.3186 5.3186
P 2.6567 4.4348 4.4348
P 4.4348 4.4348 2.6567
P 4.4348 2.6567 4.4348
P 2.6567 2.6567 2.6567
Os 0.0000 0.0000 0.0000
! E = -6.434 eV per atom
! D(E_F) = 4.1 states/eV per cell
! Total magnetization = 0.00 μB/f.u.

***

(2)
! ZrPOs2 PBE optimized geometry; values from VASP
&SYSTEM
  ibrav = 0, nat = 4, ntyp = 3
/
ATOMIC_SPECIES
Zr 91.22 Zr.upf
P 30.97 P.upf
Os 190.23 Os.upf
CELL_PARAMETERS angstrom
-5.0795 -7.2612 1.0861
-3.4113 -7.5142 3.4067
-5.7547 -5.8613 3.4978
ATOMIC_POSITIONS angstrom
Zr -3.5034 -5.0751 1.9651
P -6.9828 -10.1156 3.9168
Os -0.1035 -0.1499 0.0580
Os -10.7786 -15.6143 6.0459
! E = -8.998 eV per atom
! D(E_F) = 3.8 states/eV per cell
! Total magnetization = 0.00 μB/f.u.

***

(3)
! ZrPOs PBE optimized geometry; values from VASP
&SYSTEM
  ibrav = 0, nat = 9, ntyp = 3
/
ATOMIC_SPECIES
Zr 91.22 Zr.upf
P 30.97 P.upf
Os 190.23 Os.upf
CELL_PARAMETERS angstrom
3.3475 -5.7981 0.0000
3.3475 5.7981 0.0000
0.0000 0.0000 3.8272
ATOMIC_POSITIONS angstrom
Zr 2.0046 -3.4721 1.9136
Zr 2.0046 3.4721 1.9136
Zr 2.6858 0.0000 1.9136
P 0.9000 -1.5589 0.0000
P 0.9000 1.5589 0.0000
P 4.8950 0.0000 0.0000
Os 3.3475 1.9327 0.0000
Os 3.3475 -1.9327 0.0000
Os 0.0000 0.0000 1.9136
! E = -8.950 eV per atom
! D(E_F) = 5.6 states/eV per cell
! Total magnetization = 0.00 μB/f.u.

***

(4)
! ZrPOs2 PBE optimized geometry; values from VASP
&SYSTEM
  ibrav = 0, nat = 4, ntyp = 3
/
ATOMIC_SPECIES
Zr 91.22 Zr.upf
P 30.97 P.upf
Os 190.23 Os.upf
CELL_PARAMETERS angstrom
-1.2824 3.2886 1.9386
0.2496 -1.4378 2.6042
5.0679 1.0447 1.5801
ATOMIC_POSITIONS angstrom
Zr 1.8928 2.1667 1.7594
P -0.5164 0.9254 2.2714
Os 4.0392 0.2796 2.1976
Os 1.2782 -0.6727 1.9868
! E = -9.213 eV per atom
! D(E_F) = 3.6 states/eV per cell
! Total magnetization = 0.00 μB/f.u.

***

(5)
! Zr2POs PBE optimized geometry; values from VASP
&SYSTEM
  ibrav = 0, nat = 4, ntyp = 3
/
ATOMIC_SPECIES
Zr 91.22 Zr.upf
P 30.97 P.upf
Os 190.23 Os.upf
CELL_PARAMETERS angstrom
3.3317 0.0000 0.0000
0.0000 3.2411 -0.0036
0.0000 0.9731 6.6295
ATOMIC_POSITIONS angstrom
Zr 0.0000 0.9089 4.9496
Zr 0.0000 3.3053 1.6763
P 1.6659 2.1071 3.3129
Os 1.6659 1.6205 -0.0018
! E = -9.045 eV per atom
! D(E_F) = 3.6 states/eV per cell
! Total magnetization = 0.00 μB/f.u.

***

(6)
! Zr2POs PBE optimized geometry; values from VASP
&SYSTEM
  ibrav = 0, nat = 4, ntyp = 3
/
ATOMIC_SPECIES
Zr 91.22 Zr.upf
P 30.97 P.upf
Os 190.23 Os.upf
CELL_PARAMETERS angstrom
-3.4282 1.2962 2.6688
-2.7814 -2.8236 -2.2015
0.7850 -2.5097 2.2271
ATOMIC_POSITIONS angstrom
Zr -1.7141 0.6481 1.3344
Zr -1.3907 -1.4118 -1.1007
P 0.3925 -1.2548 1.1136
Os -2.7123 -2.0185 1.3473
! E = -8.899 eV per atom
! D(E_F) = 4.2 states/eV per cell
! Total magnetization = 0.00 μB/f.u.

***

(7)
! ZrPOs PBE optimized geometry; values from VASP
&SYSTEM
  ibrav = 0, nat = 12, ntyp = 3
/
ATOMIC_SPECIES
P 30.97 P.upf
Os 190.23 Os.upf
Zr 91.22 Zr.upf
CELL_PARAMETERS angstrom
-3.9096 0.0935 0.3381
0.5565 -0.0846 6.4591
0.1827 7.3453 0.0804
ATOMIC_POSITIONS angstrom
P -0.4153 6.4059 4.8194
P -0.7400 4.5791 1.5693
P -2.7552 0.9484 2.0583
P -2.4304 2.7753 5.3083
Os -0.6125 6.8943 2.4032
Os -0.4035 4.0695 5.6023
Os -2.7670 3.2848 1.2753
Os -2.5579 0.4600 4.4744
Zr -2.5186 5.0067 3.6716
Zr -0.3999 1.2485 6.4241
Zr -2.7705 6.1058 0.4536
Zr -0.6519 2.3476 3.2061
! E = -9.323 eV per atom
! D(E_F) = 6.6 states/eV per cell
! Total magnetization = 0.00 μB/f.u.

***

(8)
! ZrPOs2 PBE optimized geometry; values from VASP
&SYSTEM
  ibrav = 0, nat = 4, ntyp = 3
/
ATOMIC_SPECIES
Zr 91.22 Zr.upf
P 30.97 P.upf
Os 190.23 Os.upf
CELL_PARAMETERS angstrom
-1.0247 0.7804 -2.5896
-3.5879 -1.0917 1.0907
-0.9881 5.2055 1.9597
ATOMIC_POSITIONS angstrom
Zr -3.0403 3.7111 0.7063
P -0.4556 2.3999 0.9035
Os -0.0491 0.2584 0.0973
Os -2.5499 1.1276 -0.2663
! E = -9.190 eV per atom
! D(E_F) = 3.6 states/eV per cell
! Total magnetization = 0.00 μB/f.u.

***

(9)
! PaOs2 PBE optimized geometry; values from VASP
&SYSTEM
  ibrav = 0, nat = 6, ntyp = 2
/
ATOMIC_SPECIES
Pa 231.04 Pa.upf
Os 190.23 Os.upf
CELL_PARAMETERS angstrom
-4.3662 0.0047 -3.1195
-3.2128 -4.2962 -0.1251
-4.8812 0.2344 2.2169
ATOMIC_POSITIONS angstrom
Pa 0.0000 0.0000 0.0000
Pa -3.1150 -1.0143 -0.2569
Os -5.6045 -2.5380 0.9175
Os -6.1812 -0.3876 -0.5798
Os -7.7876 -2.5357 -0.6423
Os -5.3470 -2.6529 -1.7508
! E above lowest polymorph = 0.0000 eV/atom
! E = -10.926 eV per atom
! D(E_F) = 11.2 states/eV per cell
! Total magnetization = 0.00 μB/f.u.

***

(10)
! PaOs PBE optimized geometry; values from VASP
&SYSTEM
  ibrav = 0, nat = 2, ntyp = 2
/
ATOMIC_SPECIES
Pa 231.04 Pa.upf
Os 190.23 Os.upf
CELL_PARAMETERS angstrom
3.4450 0.0000 0.0000
0.0000 3.4450 0.0000
0.0000 0.0000 3.4450
ATOMIC_POSITIONS angstrom
Pa 1.7225 1.7225 1.7225
Os 0.0000 0.0000 0.0000
! E = -10.544 eV per atom
! D(E_F) = 3.3 states/eV per cell
! Total magnetization = 0.00 μB/f.u.

***

(11)
! PaOs3 PBE optimized geometry; values from VASP
&SYSTEM
  ibrav = 0, nat = 4, ntyp = 2
/
ATOMIC_SPECIES
Pa 231.04 Pa.upf
Os 190.23 Os.upf
CELL_PARAMETERS angstrom
4.0757 0.0000 0.0000
0.0000 4.0757 0.0000
0.0000 0.0000 4.0757
ATOMIC_POSITIONS angstrom
Pa 0.0000 0.0000 0.0000
Os 0.0000 2.0379 2.0379
Os 2.0379 0.0000 2.0379
Os 2.0379 2.0379 0.0000
! E above lowest polymorph = 0.0000 eV/atom
! E = -10.935 eV per atom
! D(E_F) = 4.6 states/eV per cell
! Total magnetization = 0.00 μB/f.u.

***

(12)
! Pa4Os PBE optimized geometry; values from VASP
&SYSTEM
  ibrav = 0, nat = 5, ntyp = 2
/
ATOMIC_SPECIES
Pa 231.04 Pa.upf
Os 190.23 Os.upf
CELL_PARAMETERS angstrom
5.2815 0.0000 0.0000
0.0000 5.2815 0.0000
0.0000 0.0000 5.2815
ATOMIC_POSITIONS angstrom
Pa 0.0000 0.0000 0.0000
Pa 2.6408 0.0000 2.6408
Pa 0.0000 2.6408 2.6408
Pa 2.6408 2.6408 0.0000
Os 2.6408 2.6408 2.6408
! E above lowest polymorph = 0.4897 eV/atom
! E = -9.310 eV per atom
! D(E_F) = 11.9 states/eV per cell
! Total magnetization = 0.25 μB/f.u.